# 1
Computed, not measured: an optimized crystal structure of LaBi2HRh at the PBE level of DFT.

Cell and atoms, written as CIF:
```
data_LaBi2HRh
_cell_length_a 5.282
_cell_length_b 5.282
_cell_length_c 5.435
_cell_angle_alpha 90.00
_cell_angle_beta 90.00
_cell_angle_gamma 90.00
_space_group_name_H-M_alt 'P 4/m m m'
_space_group_IT_number 123
_space_group_name_Hall '-P 4 2'
loop_
_atom_site_label
_atom_site_type_symbol
_atom_site_fract_x
_atom_site_fract_y
_atom_site_fract_z
La1 La 0.000 0.000 0.000
Bi1 Bi 0.000 0.500 0.500
H1 H 0.500 0.500 0.000
Rh1 Rh 0.000 0.000 0.500
```

Output
V = 30.33 Å³/atom
theoretical density = 7236 kg/m³
total DFT energy (no corrections) = -4.482 eV per atom

# 2
Computed, not measured: an optimized crystal structure of NaHf2ZnMo at the PBE level of DFT.

Cell and atoms, written as CIF:
```
data_NaHf2ZnMo
_cell_length_a 4.927
_cell_length_b 4.927
_cell_length_c 4.223
_cell_angle_alpha 90.00
_cell_angle_beta 90.00
_cell_angle_gamma 90.00
_space_group_name_H-M_alt 'P 4/m m m'
_space_group_IT_number 123
_space_group_name_Hall '-P 4 2'
loop_
_atom_site_label
_atom_site_type_symbol
_atom_site_fract_x
_atom_site_fract_y
_atom_site_fract_z
Na1 Na 0.000 0.000 0.000
Hf1 Hf 0.000 0.500 0.000
Zn1 Zn 0.000 0.000 0.500
Mo1 Mo 0.500 0.500 0.500
```

Output
V = 20.50 Å³/atom
DFT formation energy = 161 kJ/mol of atoms
theoretical density = 8768 kg/m³
total DFT energy (no corrections) = -4.994 eV per atom

# 3
Computed, not measured: an optimized crystal structure of LaCrRe2 at the PBE level of DFT.

Cell and atoms, written as CIF:
```
data_LaCrRe2
_cell_length_a 2.904
_cell_length_b 4.861
_cell_length_c 9.924
_cell_angle_alpha 90.00
_cell_angle_beta 90.00
_cell_angle_gamma 90.00
_space_group_name_H-M_alt 'I m m m'
_space_group_IT_number 71
_space_group_name_Hall '-I 2 2'
loop_
_atom_site_label
_atom_site_type_symbol
_atom_site_fract_x
_atom_site_fract_y
_atom_site_fract_z
La1 La 0.000 0.000 0.000
Cr1 Cr 0.000 0.000 0.500
Re1 Re 0.000 0.500 0.216
```

Output
V = 17.51 Å³/atom
DFT formation energy = 60 kJ/mol of atoms
theoretical density = 13352 kg/m³
total DFT energy (no corrections) = -9.238 eV per atom

What did the second record say?
Computed, not measured: an optimized crystal structure of NaHf2ZnMo at the PBE level of DFT.

Cell and atoms, written as CIF:
```
data_NaHf2ZnMo
_cell_length_a 4.927
_cell_length_b 4.927
_cell_length_c 4.223
_cell_angle_alpha 90.00
_cell_angle_beta 90.00
_cell_angle_gamma 90.00
_space_group_name_H-M_alt 'P 4/m m m'
_space_group_IT_number 123
_space_group_name_Hall '-P 4 2'
loop_
_atom_site_label
_atom_site_type_symbol
_atom_site_fract_x
_atom_site_fract_y
_atom_site_fract_z
Na1 Na 0.000 0.000 0.000
Hf1 Hf 0.000 0.500 0.000
Zn1 Zn 0.000 0.000 0.500
Mo1 Mo 0.500 0.500 0.500
```

Output
V = 20.50 Å³/atom
DFT formation energy = 161 kJ/mol of atoms
theoretical density = 8768 kg/m³
total DFT energy (no corrections) = -4.994 eV per atom

Question: Among the records above, which one has the highest V?
Answer: LaBi2HRh

Question: What is the formula in the first record?
Answer: LaBi2HRh